The following is a PBE calculation of ReRhSCl2 after structural relaxation, from Alexandria.

Cell and atoms, written as CIF:
```
data_ReRhSCl2
_chemical_formula_sum 'Re1 Rh1 S1 Cl2'
_cell_length_a 4.827
_cell_length_b 4.827
_cell_length_c 4.492
_cell_angle_alpha 90.00
_cell_angle_beta 90.00
_cell_angle_gamma 90.00
_symmetry_space_group_name_H-M 'P 4/m m m'
_symmetry_Int_Tables_number 123
_symmetry_space_group_name_Hall '-P 4 2'
loop_
_atom_site_label
_atom_site_fract_x
_atom_site_fract_y
_atom_site_fract_z
_atom_site_occupancy
Re1 0.000 0.000 0.000 1
Rh1 0.500 0.500 0.500 1
S1 0.000 0.000 0.500 1
Cl1 0.000 0.500 0.000 1
```

## Properties
Offset from the most stable computed form   0.000 eV/atom
Uncorrected energy   -4.70 eV/atom
Uncorrected formation energy   396 kJ/mol of formula units